Record 1
Computed, not measured: a relaxed PrVSe crystal at the PBE level of DFT.

- V: 146 Å³ per cell
- Total magnetization: 0.0 μB/cell
- SG: C2/m, No. 12

Cell and atoms, written as CIF:
```
data_PrVSe
_chemical_formula_sum 'Pr2 V2 Se2'
_cell_length_a 4.084
_cell_length_b 4.084
_cell_length_c 8.874
_cell_angle_alpha 97.09
_cell_angle_beta 97.09
_cell_angle_gamma 90.71
_symmetry_space_group_name_H-M 'P 1'
_symmetry_Int_Tables_number 1
loop_
_symmetry_equiv_pos_as_xyz
'x,y,z'
loop_
_atom_site_label
_atom_site_fract_x
_atom_site_fract_y
_atom_site_fract_z
Pr1 0.190 0.190 0.270
Pr2 0.810 0.810 0.730
V1 0.346 0.346 0.941
V2 0.654 0.654 0.059
Se1 0.287 0.287 0.641
Se2 0.713 0.713 0.359
```


Record 2
Computed, not measured: a relaxed AlIOF2 crystal at the PBE level of DFT.

- V: 65 Å³ per cell
- Polymorph energy (0 for the lowest one): 0.000 eV per atom
- Total magnetization: 0.0 μB/cell
- SG: P4/mmm, No. 123

Cell and atoms, written as CIF:
```
data_AlIOF2
_chemical_formula_sum 'Al1 I1 O1 F2'
_cell_length_a 3.762
_cell_length_b 3.762
_cell_length_c 4.608
_cell_angle_alpha 90.00
_cell_angle_beta 90.00
_cell_angle_gamma 90.00
_symmetry_space_group_name_H-M 'P 1'
_symmetry_Int_Tables_number 1
loop_
_symmetry_equiv_pos_as_xyz
'x,y,z'
loop_
_atom_site_label
_atom_site_fract_x
_atom_site_fract_y
_atom_site_fract_z
Al1 0.000 0.000 0.000
I1 0.500 0.500 0.500
O1 0.000 0.000 0.500
F1 0.000 0.500 0.000
F2 0.500 0.000 0.000
```


Record 3
Computed, not measured: a relaxed TlSbOsO6 crystal at the PBE level of DFT.

- V: 275 Å³ per cell
- Total magnetization: 3.9 μB/cell
- SG: Imma, No. 74

Cell and atoms, written as CIF:
```
data_TlSbOsO6
_chemical_formula_sum 'Tl2 Sb2 Os2 O12'
_cell_length_a 7.310
_cell_length_b 7.310
_cell_length_c 7.310
_cell_angle_alpha 120.28
_cell_angle_beta 120.24
_cell_angle_gamma 89.55
_symmetry_space_group_name_H-M 'P 1'
_symmetry_Int_Tables_number 1
loop_
_symmetry_equiv_pos_as_xyz
'x,y,z'
loop_
_atom_site_label
_atom_site_fract_x
_atom_site_fract_y
_atom_site_fract_z
Tl1 0.386 0.136 0.250
Tl2 0.614 0.864 0.750
Sb1 0.000 0.500 0.500
Sb2 0.500 0.500 0.000
Os1 0.000 0.000 0.500
Os2 0.000 0.500 0.000
O1 0.056 0.806 0.250
O2 0.067 0.424 0.239
O3 0.067 0.828 0.643
O4 0.315 0.172 0.739
O5 0.315 0.576 0.143
O6 0.328 0.578 0.750
O7 0.672 0.422 0.250
O8 0.685 0.424 0.857
O9 0.685 0.828 0.261
O10 0.933 0.172 0.357
O11 0.933 0.576 0.761
O12 0.944 0.194 0.750
```


Record 4
Computed, not measured: a relaxed LaPaTe2C crystal at the PBE level of DFT.

- V: 292 Å³ per cell
- Total magnetization: 0.0 μB/cell
- SG: P4/nmm, No. 129

Cell and atoms, written as CIF:
```
data_LaPaTe2C
_chemical_formula_sum 'La2 Pa2 Te4 C2'
_cell_length_a 4.195
_cell_length_b 4.195
_cell_length_c 16.582
_cell_angle_alpha 90.00
_cell_angle_beta 90.00
_cell_angle_gamma 90.00
_symmetry_space_group_name_H-M 'P 1'
_symmetry_Int_Tables_number 1
loop_
_symmetry_equiv_pos_as_xyz
'x,y,z'
loop_
_atom_site_label
_atom_site_fract_x
_atom_site_fract_y
_atom_site_fract_z
La1 0.250 0.250 0.143
La2 0.750 0.750 0.857
Pa1 0.250 0.250 0.564
Pa2 0.750 0.750 0.436
Te1 0.250 0.250 0.327
Te2 0.250 0.250 0.921
Te3 0.750 0.750 0.079
Te4 0.750 0.750 0.673
C1 0.250 0.750 0.500
C2 0.750 0.250 0.500
```


no.,formation energy (no corrections) (eV/atom)
1,-0.70
2,-1.65
3,-1.08
4,-0.97